# 1
DFT (PBE-GGA) results for a geometry-optimized KNa2Tl2 structure.

Calculated values
**Space-group type**: P4/mbm (127)
**Energy relative to the lowest polymorph listed for this composition**: 0.00 eV per formula unit
**Energy relative to the elements**: -0.07 eV/atom
**Total magnetic moment**: 0.00 μB per atom

Structure (extended XYZ):
```
10
Lattice="-4.350 -1.988 -8.444 -2.394 -8.805 3.306 -3.031 1.296 1.256" Properties=species:S:1:pos:R:3 pbc="T T T"
Na -3.023 -2.350 -4.868
Na -1.443 -3.546 0.176
Na -5.302 -7.247 -5.315
Na -3.722 -8.442 -0.270
Tl -5.923 -3.918 -5.295
Tl -6.415 -7.999 -2.274
Tl -3.360 -1.498 -1.608
Tl -3.852 -5.578 1.413
K 0.000 0.000 0.000
K -3.372 -5.396 -2.569
```

***

# 2
DFT (PBE-GGA) results for a geometry-optimized KNa2Tl9 structure.

Calculated values
**Space-group type**: P4/mmm (123)
**Energy relative to the lowest polymorph listed for this composition**: 0.00 eV per formula unit
**Energy relative to the elements**: -0.06 eV/atom
**Total magnetic moment**: 0.00 μB per atom

Structure (extended XYZ):
```
12
Lattice="-3.993 1.327 -2.602 2.535 -0.613 -4.204 -4.355 -14.191 -0.557" Properties=species:S:1:pos:R:3 pbc="T T T"
Tl -5.580 -11.011 -1.759
Tl -4.174 -6.432 -1.579
Tl -2.191 -4.408 -3.590
Tl -2.769 -1.852 -1.400
Tl -2.316 -11.982 -2.560
Tl 0.495 -2.823 -2.200
Tl -0.729 0.357 -3.403
Tl -3.622 -9.068 -3.772
Tl -0.910 -7.402 -2.380
Na -1.475 -4.807 -0.189
Na -2.880 -9.384 -0.368
K 0.000 0.000 0.000
```

***

# 3
DFT (PBE-GGA) results for a geometry-optimized K2NaTl structure.

Calculated values
**Space-group type**: C2 (5)
**Energy relative to the lowest polymorph listed for this composition**: 0.15 eV per formula unit
**Energy relative to the elements**: 0.00 eV/atom
**Total magnetic moment**: 0.00 μB per atom

Structure (extended XYZ):
```
4
Lattice="-0.529 -0.253 -4.133 -4.768 -5.264 -1.164 -6.627 2.434 -1.397" Properties=species:S:1:pos:R:3 pbc="T T T"
K -6.705 -1.002 -3.287
K -4.353 -4.449 -1.267
Tl -8.601 -3.727 -4.978
Na -2.995 -0.712 -1.675
```

***

# 4
DFT (PBE-GGA) results for a geometry-optimized KNa12Tl7 structure.

Calculated values
**Space-group type**: R-3 (148)
**Energy relative to the elements**: -0.05 eV/atom
**Total magnetic moment**: 0.00 μB per atom

Structure (extended XYZ):
```
20
Lattice="-6.350 -6.264 -6.279 7.441 -4.307 3.089 -3.138 -7.438 4.276" Properties=species:S:1:pos:R:3 pbc="T T T"
Tl -6.868 -11.429 -1.982
Tl 2.008 -11.760 4.764
Tl -3.175 -3.132 -3.140
Tl 1.139 -7.964 -0.903
Tl -3.186 -10.045 1.989
Tl 4.821 -6.580 3.069
Tl -4.055 -6.248 -3.678
Na -2.238 -9.094 -3.061
Na -3.833 -11.780 -0.900
Na -2.153 -14.671 -0.373
Na -1.155 -5.635 -1.949
Na 1.786 -6.229 1.986
Na 3.065 -9.462 2.445
Na -0.359 -10.682 0.151
Na 0.106 -3.337 1.459
Na 0.191 -8.915 4.148
Na -0.892 -12.374 3.035
Na -1.688 -7.326 0.935
Na -5.112 -8.547 -1.359
K 0.000 0.000 0.000
```

***

# 5
DFT (PBE-GGA) results for a geometry-optimized K3Na4Tl2 structure.

Calculated values
**Space-group type**: C2/m (12)
**Energy relative to the elements**: -0.03 eV/atom
**Total magnetic moment**: 0.00 μB per atom

Structure (extended XYZ):
```
9
Lattice="-4.194 -2.069 1.012 5.767 -6.506 -0.708 0.040 4.607 9.579" Properties=species:S:1:pos:R:3 pbc="T T T"
Na 0.847 1.510 6.598
Na -0.772 0.916 9.985
Na 2.384 -4.884 -0.102
Na 0.765 -5.478 3.286
K -1.139 -1.194 4.148
K 2.752 -2.774 5.736
K 0.000 0.000 0.000
Tl 1.778 -2.561 2.133
Tl -0.165 -1.407 7.751
```

***

# 6
DFT (PBE-GGA) results for a geometry-optimized K2Na12Tl structure.

Calculated values
**Space-group type**: P4/nbm (125)
**Energy relative to the elements**: 0.04 eV/atom
**Total magnetic moment**: 0.00 μB per atom

Structure (extended XYZ):
```
30
Lattice="-2.534 -6.401 -2.510 -1.517 -2.089 6.858 -21.841 9.417 -1.961" Properties=species:S:1:pos:R:3 pbc="T T T"
Tl -1.267 -3.201 -1.255
Tl -0.758 -1.045 3.429
Na -4.805 -5.606 3.102
Na -14.489 6.247 -1.301
Na -4.125 1.778 -0.370
Na -7.352 3.170 -0.660
Na -11.456 -0.545 -1.370
Na -22.354 3.332 -1.971
Na -11.597 0.248 4.012
Na -17.716 7.638 -1.591
Na -9.377 -1.075 1.514
Na -3.538 -2.405 4.357
Na -21.086 6.532 -0.716
Na -16.514 2.002 0.873
Na -10.432 2.320 0.986
Na -23.112 2.287 1.458
Na -15.296 -0.701 2.905
Na -4.047 -4.561 -0.327
Na -13.434 2.851 -0.773
Na -21.845 5.488 2.713
Na -13.785 2.835 3.059
Na -2.780 -1.361 0.928
Na -14.945 -0.685 -0.927
Na -19.741 3.393 0.583
Na -6.150 -2.467 1.804
Na -12.621 -2.617 1.656
K -6.389 1.383 2.923
K -6.898 -0.773 -1.761
K -17.477 3.788 -2.711
K -16.968 5.944 1.973
```

***

# 7
DFT (PBE-GGA) results for a geometry-optimized KNa12Tl6 structure.

Calculated values
**Space-group type**: R-3 (148)
**Energy relative to the lowest polymorph listed for this composition**: 0.00 eV per formula unit
**Energy relative to the elements**: -0.05 eV/atom
**Total magnetic moment**: 0.00 μB per atom

Structure (extended XYZ):
```
19
Lattice="8.491 -0.160 0.222 0.212 8.490 0.222 -0.167 -0.160 8.492" Properties=species:S:1:pos:R:3 pbc="T T T"
Tl 6.145 2.233 7.743
Tl 2.391 5.937 1.192
Tl 5.979 0.821 2.443
Tl 7.621 6.042 2.851
Tl 0.915 2.129 6.084
Tl 2.557 7.349 6.493
Na 4.561 6.679 3.890
Na 5.189 6.862 8.653
Na 1.313 0.072 3.357
Na 3.572 4.265 7.043
Na 3.975 1.491 5.045
Na 8.320 4.884 7.470
Na 0.216 3.287 1.465
Na 3.347 1.309 0.283
Na 4.964 3.906 1.892
Na 6.834 3.382 4.734
Na 7.223 8.099 5.579
Na 1.702 4.788 4.202
K 0.000 0.000 0.000
```

***

# 8
DFT (PBE-GGA) results for a geometry-optimized KNa8Tl2 structure.

Calculated values
**Space-group type**: P1 (1)
**Energy relative to the lowest polymorph listed for this composition**: 0.00 eV per formula unit
**Energy relative to the elements**: -0.03 eV/atom
**Total magnetic moment**: 0.00 μB per atom

Structure (extended XYZ):
```
11
Lattice="-3.412 -2.005 4.189 5.543 -3.669 1.763 1.936 8.427 4.835" Properties=species:S:1:pos:R:3 pbc="T T T"
Na 3.331 5.897 7.142
Na 3.370 -1.012 7.705
Na 0.515 0.837 6.819
Na 1.565 0.685 3.524
Na 4.259 -1.124 4.406
Na 0.706 4.051 8.043
Na 3.708 2.057 6.216
Na -1.629 -0.526 4.137
Tl 0.879 -2.348 5.466
Tl 1.201 3.866 4.878
K 6.494 4.135 6.383
```

***

# 9
DFT (PBE-GGA) results for a geometry-optimized K3Na8Tl structure.

Calculated values
**Space-group type**: R3m (160)
**Energy relative to the elements**: 0.02 eV/atom
**Total magnetic moment**: 0.00 μB per atom

Structure (extended XYZ):
```
12
Lattice="-6.106 -1.283 -3.519 -0.381 -5.439 -4.647 -5.562 -9.215 5.719" Properties=species:S:1:pos:R:3 pbc="T T T"
Na -2.231 -3.452 1.393
Na -8.414 -10.674 -3.383
Na -2.417 -6.103 -0.873
Na -2.377 -2.679 -2.191
Na -5.081 -10.522 1.687
Na -5.208 -4.077 -0.323
Na -8.112 -11.159 -0.059
Na -7.922 -8.460 2.247
K -4.752 -5.356 -4.385
K -5.479 -9.044 5.512
K -6.065 -8.049 -1.126
Tl -4.280 -6.583 2.534
```

***

# 10
DFT (PBE-GGA) results for a geometry-optimized K5Na6Tl structure.

Calculated values
**Space-group type**: C2/m (12)
**Energy relative to the elements**: 0.03 eV/atom
**Total magnetic moment**: 0.00 μB per atom

Structure (extended XYZ):
```
12
Lattice="-4.140 -9.436 7.121 6.206 -2.206 3.263 2.036 2.979 6.420" Properties=species:S:1:pos:R:3 pbc="T T T"
K 3.770 -5.526 8.463
K 1.033 -5.821 5.192
K 2.749 0.250 3.218
K 0.331 -3.136 8.342
K 5.492 0.524 6.465
Na 0.465 -5.975 11.287
Na -2.177 -6.635 7.587
Na 1.704 -9.037 8.083
Na 0.362 -2.605 2.301
Na 6.279 -2.027 9.217
Na 3.637 -2.688 5.517
Tl 0.000 0.000 0.000
```

***

# 11
DFT (PBE-GGA) results for a geometry-optimized KNa7Tl12 structure.

Calculated values
**Space-group type**: R-3m (166)
**Energy relative to the elements**: -0.05 eV/atom
**Total magnetic moment**: 0.00 μB per atom

Structure (extended XYZ):
```
20
Lattice="-3.126 5.316 5.310 -6.823 -1.200 -6.973 1.708 -8.233 5.091" Properties=species:S:1:pos:R:3 pbc="T T T"
Na -4.750 -3.779 1.156
Na -3.140 -4.419 6.902
Na -5.101 0.302 -3.474
Na -1.896 1.380 5.987
Na -6.345 -5.498 -2.559
Na -1.563 2.658 2.655
Na -3.491 -0.338 2.272
Tl -4.007 -1.414 -0.943
Tl -0.756 -2.233 6.564
Tl -3.558 -5.924 -0.937
Tl -1.737 -3.285 2.266
Tl -4.683 -5.821 3.687
Tl -0.561 -6.363 1.882
Tl -6.504 -0.832 1.162
Tl -4.683 1.807 4.365
Tl -4.235 -2.703 4.371
Tl -7.485 -1.884 -3.136
Tl -3.558 1.704 -0.259
Tl -7.680 2.246 1.546
K 0.000 0.000 0.000
```

***

# 12
DFT (PBE-GGA) results for a geometry-optimized KNa7Tl3 structure.

Calculated values
**Space-group type**: C2/m (12)
**Energy relative to the elements**: 0.00 eV/atom
**Total magnetic moment**: 0.00 μB per atom

Structure (extended XYZ):
```
11
Lattice="6.066 -0.092 -0.117 -2.893 8.021 0.555 -2.893 -1.406 7.916" Properties=species:S:1:pos:R:3 pbc="T T T"
Tl -2.893 0.809 6.186
Tl -2.893 5.806 2.285
Tl 3.033 -0.046 -0.059
Na 0.037 1.018 1.304
Na 0.193 7.303 3.573
Na 0.086 4.827 0.402
Na 0.086 -0.780 4.781
Na 0.242 5.505 7.049
Na 0.193 1.696 7.952
Na -2.893 3.307 4.235
K 0.139 3.261 4.177
```

***

# 13
DFT (PBE-GGA) results for a geometry-optimized K2NaTl3 structure.

Calculated values
**Space-group type**: C2/m (12)
**Energy relative to the lowest polymorph listed for this composition**: 0.00 eV per formula unit
**Energy relative to the elements**: -0.11 eV/atom
**Total magnetic moment**: 0.00 μB per atom

Structure (extended XYZ):
```
6
Lattice="-3.986 -1.734 -5.122 0.284 -3.858 5.492 -1.568 5.323 3.771" Properties=species:S:1:pos:R:3 pbc="T T T"
Tl -2.777 1.794 -0.675
Tl -0.784 2.661 1.885
Tl -2.636 -0.134 2.071
Na 0.000 0.000 0.000
K -3.146 -2.035 -1.278
K -2.125 1.766 5.420
```

***

# 14
DFT (PBE-GGA) results for a geometry-optimized K3NaTl structure.

Calculated values
**Space-group type**: Pm-3m (221)
**Energy relative to the lowest polymorph listed for this composition**: 0.78 eV per formula unit
**Energy relative to the elements**: 0.13 eV/atom
**Total magnetic moment**: 0.00 μB per atom

Structure (extended XYZ):
```
5
Lattice="-2.360 -0.279 -6.402 1.163 -6.727 -0.135 -6.301 -1.137 2.372" Properties=species:S:1:pos:R:3 pbc="T T T"
K 0.582 -3.364 -0.068
K -3.151 -0.569 1.186
K -1.180 -0.140 -3.201
Na -3.749 -4.072 -2.082
Tl 0.000 0.000 0.000
```

***

# 15
DFT (PBE-GGA) results for a geometry-optimized K2Na2Tl structure.

Calculated values
**Space-group type**: I4_1/amd (141)
**Energy relative to the lowest polymorph listed for this composition**: 0.18 eV per formula unit
**Energy relative to the elements**: 0.03 eV/atom
**Total magnetic moment**: 0.00 μB per atom

Structure (extended XYZ):
```
10
Lattice="-5.220 0.666 -3.064 -0.514 -6.051 -0.441 -3.554 2.445 12.638" Properties=species:S:1:pos:R:3 pbc="T T T"
Na -1.271 -3.065 1.500
Na -5.063 -2.777 1.971
Na -4.225 -0.163 7.163
Na -5.663 -3.234 8.945
K -8.169 0.118 7.893
K -6.938 -2.850 5.151
K -2.349 -0.091 3.982
K -3.471 0.300 -0.071
Tl -2.867 -2.693 -1.752
Tl -3.467 -3.150 5.222
```

***

# 16
DFT (PBE-GGA) results for a geometry-optimized KNa2Tl2 structure.

Calculated values
**Space-group type**: C2/m (12)
**Energy relative to the lowest polymorph listed for this composition**: 0.01 eV per formula unit
**Energy relative to the elements**: -0.07 eV/atom
**Total magnetic moment**: 0.00 μB per atom

Structure (extended XYZ):
```
5
Lattice="5.553 0.000 0.000 0.000 6.634 -1.478 -2.776 -3.507 5.120" Properties=species:S:1:pos:R:3 pbc="T T T"
Tl 0.000 3.856 0.905
Tl 2.776 -0.728 2.737
K 0.000 0.000 0.000
Na 0.000 1.008 3.352
Na 2.776 2.119 0.290
```

***

# 17
DFT (PBE-GGA) results for a geometry-optimized KNa5Tl7 structure.

Calculated values
**Space-group type**: Imm2 (44)
**Energy relative to the elements**: -0.08 eV/atom
**Total magnetic moment**: 0.00 μB per atom

Structure (extended XYZ):
```
13
Lattice="5.830 0.000 2.394 2.933 7.955 1.154 -0.107 -0.021 8.556" Properties=species:S:1:pos:R:3 pbc="T T T"
Na -0.022 0.012 4.229
Na 1.467 3.921 0.602
Na 2.874 0.012 5.419
Na 6.400 6.192 9.301
Na 4.363 3.921 1.791
Tl 2.258 1.734 2.796
Tl 5.187 6.185 3.960
Tl 3.890 5.125 7.120
Tl 3.482 1.713 8.111
Tl 0.982 2.811 5.903
Tl 1.853 5.097 3.782
Tl 4.738 2.883 5.053
K 5.805 0.067 2.456
```

***

# 18
DFT (PBE-GGA) results for a geometry-optimized K2Na2Tl3 structure.

Calculated values
**Space-group type**: C2/m (12)
**Energy relative to the elements**: -0.08 eV/atom
**Total magnetic moment**: 0.00 μB per atom

Structure (extended XYZ):
```
7
Lattice="5.615 0.000 0.000 -2.808 6.448 -0.364 0.000 -3.795 7.503" Properties=species:S:1:pos:R:3 pbc="T T T"
Na 2.808 1.844 5.353
Na 0.000 0.809 1.786
Tl 2.808 0.000 0.000
Tl 2.808 -0.514 2.990
Tl 0.000 3.167 4.149
K 2.808 3.491 1.496
K 0.000 -0.838 5.642
```

***

# 19
DFT (PBE-GGA) results for a geometry-optimized KNaTl3 structure.

Calculated values
**Space-group type**: Pm-3m (221)
**Energy relative to the lowest polymorph listed for this composition**: 1.02 eV per formula unit
**Energy relative to the elements**: 0.15 eV/atom
**Total magnetic moment**: 0.00 μB per atom

Structure (extended XYZ):
```
5
Lattice="5.778 0.000 0.000 0.000 5.778 0.000 0.000 0.000 5.778" Properties=species:S:1:pos:R:3 pbc="T T T"
K 2.889 2.889 2.889
Tl 2.889 0.000 0.000
Tl 0.000 0.000 2.889
Tl 0.000 2.889 0.000
Na 0.000 0.000 0.000
```

***

# 20
DFT (PBE-GGA) results for a geometry-optimized KNaTl3 structure.

Calculated values
**Space-group type**: Pm-3m (221)
**Energy relative to the lowest polymorph listed for this composition**: 2.71 eV per formula unit
**Energy relative to the elements**: 0.49 eV/atom
**Total magnetic moment**: 0.00 μB per atom

Structure (extended XYZ):
```
5
Lattice="-5.263 1.018 3.140 -3.286 -2.172 -4.804 0.310 -5.731 2.378" Properties=species:S:1:pos:R:3 pbc="T T T"
Tl -2.631 0.509 1.570
Tl 0.155 -2.865 1.189
Tl -1.643 -1.086 -2.402
Na -4.119 -3.442 0.357
K 0.000 0.000 0.000
```